## Ba2LiAg (GGA-PBE)

Data for a relaxed Ba2LiAg crystal.

**DOS(E_F)**: 1.076 states/eV per atom
**Energy relative to the lowest polymorph listed for this composition**: 86.0 meV per atom
**Energy of formation**: -0.054 eV per atom
**Symmetry**: P4mm (99)

a b c (Å): 4.007 4.007 9.321
angles (deg): 90.00 90.00 90.00
Positions (direct):
Ba  0.500  0.500  0.315
Ba  0.000  0.000  0.922
Li  0.000  0.000  0.577
Ag  0.500  0.500  0.685